# 1
This record from the Alexandria database describes Li2ErPt after structural relaxation. The functional is PBE-GGA.

Density of states at the Fermi level (states/eV per cell): 4.2

Cell and atoms, written as POSCAR:
```
Li2ErPt
1.0
0.000 3.214 3.214
3.214 0.000 3.214
3.214 3.214 0.000
Li Er Pt
2 1 1
direct
0.250 0.250 0.250
0.750 0.750 0.750
0.000 0.000 0.000
0.500 0.500 0.500
```



# 2
This record from the Alexandria database describes La5Tb3Nd after structural relaxation. The functional is PBE-GGA.

Density of states at the Fermi level (states/eV per cell): 34.3

Cell and atoms, written as POSCAR:
```
La5Tb3Nd
1.0
-4.416 4.416 8.202
4.416 -4.416 8.202
4.416 4.416 -8.202
La Tb Nd
10 6 2
direct
0.000 0.000 0.000
0.057 0.557 0.894
0.163 0.057 0.500
0.337 0.837 0.894
0.443 0.337 0.500
0.500 0.500 0.000
0.557 0.663 0.500
0.663 0.163 0.106
0.837 0.943 0.500
0.943 0.443 0.106
0.120 0.380 0.500
0.250 0.250 0.000
0.380 0.880 0.259
0.620 0.120 0.741
0.750 0.750 0.000
0.880 0.620 0.500
0.250 0.750 0.500
0.750 0.250 0.500
```



# 3
This record from the Alexandria database describes LiMg2Zr after structural relaxation. The functional is PBE-GGA.

Density of states at the Fermi level (states/eV per cell): 3.3

Cell and atoms, written as POSCAR:
```
LiMg2Zr
1.0
2.956 0.000 0.000
0.000 4.430 0.000
0.000 0.000 6.559
Li Mg Zr
1 2 1
direct
0.000 0.000 0.000
0.500 0.500 0.241
0.500 0.500 0.759
0.000 0.000 0.500
```



E for the records above, in order: -4.01 -4.55 -3.33 eV per atom
E_form for the records above, in order: -1.63 2.37 0.32 eV/f.u.
Spin magnetization for the records above, in order: 0.00 0.00 0.00 Bohr magnetons per cell